SbAs2Ir | PBE | relaxed

The calculation puts the total magnetic moment at 0.00 μB per formula unit. Its crystal system is monoclinic. The value obtained for the distance to the lowest polymorph of the same formula is 75 meV per atom. As for the uncorrected formation energy: 0.15 eV per formula unit. The value obtained for the calculated total energy is -5.5331 eV per atom.

It has space group C2/m (No. 12), with a = 7.034 Å, b = 3.079 Å, c = 7.582 Å, α = 90.00°, β = 95.59° and γ = 90.00°. The asymmetric unit holds Sb at (0.000, 0.000, 0.000), As at (0.222, 0.000, 0.691) and Ir at (0.000, 0.500, 0.500).

---

SbAsIr | PBE | relaxed

The calculation puts the total magnetic moment at 0.00 μB per formula unit. Its crystal system is monoclinic. The value obtained for the distance to the lowest polymorph of the same formula is 0 meV per atom. As for the uncorrected formation energy: -1.37 eV per formula unit. The value obtained for the calculated total energy is -6.3343 eV per atom.

It has space group P2_1/c (No. 14), with a = 6.431 Å, b = 6.393 Å, c = 6.495 Å, α = 90.00°, β = 113.81° and γ = 90.00°. The asymmetric unit holds Sb at (0.154, 0.129, 0.371), As at (0.347, 0.637, 0.678) and Ir at (0.285, 0.508, 0.297).

---

SbAs2Ir | PBE | relaxed

The calculation puts the total magnetic moment at 0.00 μB per formula unit. Its crystal system is tetragonal. The value obtained for the distance to the lowest polymorph of the same formula is 135 meV per atom. As for the uncorrected formation energy: 0.39 eV per formula unit. The value obtained for the calculated total energy is -5.4738 eV per atom.

It has space group I-42d (No. 122), with a = 6.050 Å, b = 6.050 Å, c = 11.400 Å, α = 90.00°, β = 90.00° and γ = 90.00°. The asymmetric unit holds Sb at (0.000, 0.000, 0.000), As at (0.194, 0.250, 0.625) and Ir at (0.000, 0.000, 0.500).

---

SbAs2Ir | PBE | relaxed

The calculation puts the total magnetic moment at 0.00 μB per formula unit. Its crystal system is tetragonal. The value obtained for the distance to the lowest polymorph of the same formula is 523 meV per atom. As for the uncorrected formation energy: 1.94 eV per formula unit. The value obtained for the calculated total energy is -5.0855 eV per atom.

It has space group P4/mmm (No. 123), with a = 4.852 Å, b = 4.852 Å, c = 3.184 Å, α = 90.00°, β = 90.00° and γ = 90.00°. The asymmetric unit holds Sb at (0.000, 0.000, 0.000), As at (0.000, 0.500, 0.500) and Ir at (0.500, 0.500, 0.000).

---

SbAs2Ir | PBE | relaxed

The calculation puts the total magnetic moment at 0.00 μB per formula unit. Its crystal system is orthorhombic. The value obtained for the distance to the lowest polymorph of the same formula is 234 meV per atom. As for the uncorrected formation energy: 0.78 eV per formula unit. The value obtained for the calculated total energy is -5.3746 eV per atom.

It has space group Immm (No. 71), with a = 3.063 Å, b = 4.948 Å, c = 10.708 Å, α = 90.00°, β = 90.00° and γ = 90.00°. The asymmetric unit holds Sb at (0.000, 0.000, 0.000), As at (0.000, 0.500, 0.195) and Ir at (0.000, 0.000, 0.500).

---

SbAs2Ir | PBE | relaxed

The calculation puts the total magnetic moment at 0.00 μB per formula unit. Its crystal system is orthorhombic. The value obtained for the distance to the lowest polymorph of the same formula is 9 meV per atom. As for the uncorrected formation energy: -0.12 eV per formula unit. The value obtained for the calculated total energy is -5.5999 eV per atom.

It has space group Amm2 (No. 38), with a = 4.052 Å, b = 4.807 Å, c = 9.163 Å, α = 90.00°, β = 90.00° and γ = 90.00°. The asymmetric unit holds Sb at (0.000, 0.000, 0.000), As at (0.000, 0.000, 0.641), As at (0.500, 0.000, 0.264) and Ir at (0.500, 0.000, 0.803).

---

SbAs4Ir | PBE | relaxed

The calculation puts the total magnetic moment at 0.00 μB per formula unit. Its crystal system is cubic. As for the uncorrected formation energy: 4.87 eV per formula unit. The value obtained for the calculated total energy is -4.4514 eV per atom.

It has space group F-43m (No. 216), with a = 7.804 Å, b = 7.804 Å, c = 7.804 Å, α = 90.00°, β = 90.00° and γ = 90.00°. The asymmetric unit holds Sb at (0.000, 0.000, 0.000), As at (0.125, 0.125, 0.625) and Ir at (0.250, 0.250, 0.250).

---

SbAs2Ir | PBE | relaxed

The calculation puts the total magnetic moment at 0.00 μB per formula unit. Its crystal system is tetragonal. The value obtained for the distance to the lowest polymorph of the same formula is 166 meV per atom. As for the uncorrected formation energy: 0.51 eV per formula unit. The value obtained for the calculated total energy is -5.4422 eV per atom.

It has space group P4/mmm (No. 123), with a = 3.061 Å, b = 3.061 Å, c = 8.681 Å, α = 90.00°, β = 90.00° and γ = 90.00°. The asymmetric unit holds Sb at (0.000, 0.000, 0.000), As at (0.500, 0.500, 0.317) and Ir at (0.000, 0.000, 0.500).

---

SbAs3Ir | PBE | relaxed

The calculation puts the total magnetic moment at 0.00 μB per formula unit. Its crystal system is cubic. The value obtained for the distance to the lowest polymorph of the same formula is 0 meV per atom. As for the uncorrected formation energy: 2.67 eV per formula unit. The value obtained for the calculated total energy is -4.8521 eV per atom.

It has space group Pm-3m (No. 221), with a = 4.879 Å, b = 4.879 Å, c = 4.879 Å, α = 90.00°, β = 90.00° and γ = 90.00°. The asymmetric unit holds Sb at (0.000, 0.000, 0.000), As at (0.000, 0.500, 0.500) and Ir at (0.500, 0.500, 0.500).

---

SbAsIr | PBE | relaxed

The calculation puts the total magnetic moment at 0.00 μB per formula unit. Its crystal system is trigonal. The value obtained for the distance to the lowest polymorph of the same formula is 374 meV per atom. As for the uncorrected formation energy: -0.25 eV per formula unit. The value obtained for the calculated total energy is -5.9599 eV per atom.

It has space group P3m1 (No. 156), with a = 3.6533 Å, b = 3.6533 Å, c = 5.4397 Å, α = 90.00°, β = 90.00° and γ = 120.00°. The asymmetric unit holds Sb at (0.0000, 0.0000, 0.0000), As at (0.3333, 0.6667, 0.4417) and Ir at (0.6667, 0.3333, 0.6812).